Computed, not measured: TcSeS after structural relaxation at the PBE level of DFT.

Computed properties:
**Excess energy over the best structure of this formula in the dataset**: 0.000 eV/atom
**Total moment**: 0.00 μB/cell
**E_form (uncorrected)**: -479 meV/atom

Lattice parameters (Å, degrees): 14.302 3.152 5.882 90.00 99.71 90.00
Space group Cm (No. 8)
Inequivalent atoms, fractional coordinates:
Tc 0.000 0.000 0.000 [2 per cell]
Tc 0.005 0.500 0.400 [2 per cell]
Se 0.134 0.000 0.325 [2 per cell]
Se 0.397 0.500 0.589 [2 per cell]
S 0.089 0.500 0.804 [2 per cell]
S 0.385 0.000 0.084 [2 per cell]

Computed, not measured: TcSeS3 after structural relaxation at the PBE level of DFT.

Computed properties:
**Excess energy over the best structure of this formula in the dataset**: 0.696 eV/atom
**Total moment**: 4.89 μB/cell
**E_form (uncorrected)**: 1125 meV/atom

Lattice parameters (Å, degrees): 4.757 4.757 4.757 90.00 90.00 90.00
Space group Pm-3m (No. 221)
Inequivalent atoms, fractional coordinates:
Tc 0.000 0.000 0.000 [1 per cell]
Se 0.500 0.500 0.500 [1 per cell]
S 0.000 0.500 0.500 [3 per cell]

Computed, not measured: TcSeS2 after structural relaxation at the PBE level of DFT.

Computed properties:
**Total moment**: 2.15 μB/cell
**E_form (uncorrected)**: -313 meV/atom

Lattice parameters (Å, degrees): 12.894 3.410 9.190 90.00 123.04 90.00
Space group Cm (No. 8)
Inequivalent atoms, fractional coordinates:
Tc 0.000 0.000 0.000 [2 per cell]
Tc 0.205 0.500 0.227 [2 per cell]
Se 0.107 0.000 0.316 [2 per cell]
Se 0.338 0.000 0.975 [2 per cell]
S 0.092 0.500 0.926 [2 per cell]
S 0.325 0.500 0.696 [2 per cell]
S 0.347 0.000 0.237 [2 per cell]
S 0.384 0.500 0.533 [2 per cell]

Computed, not measured: TcSeS after structural relaxation at the PBE level of DFT.

Computed properties:
**Excess energy over the best structure of this formula in the dataset**: 0.154 eV/atom
**Total moment**: 0.00 μB/cell
**E_form (uncorrected)**: -325 meV/atom

Lattice parameters (Å, degrees): 6.649 6.898 5.930 90.00 112.65 90.00
Space group P2_1/c (No. 14)
Inequivalent atoms, fractional coordinates:
Tc 0.011 0.102 0.316 [4 per cell]
Se 0.237 0.121 0.040 [4 per cell]
S 0.236 0.653 0.998 [4 per cell]

Computed, not measured: TcSeS2 after structural relaxation at the PBE level of DFT.

Computed properties:
**Total moment**: 3.66 μB/cell
**E_form (uncorrected)**: -37 meV/atom

Lattice parameters (Å, degrees): 3.4239 3.4239 23.1019 90.00 90.00 120.00
Space group R-3m (No. 166, hexagonal axes)
Inequivalent atoms, fractional coordinates:
Tc 0.0000 0.0000 0.0000 [3 per cell]
Se 0.0000 0.0000 0.5000 [3 per cell]
S 0.0000 0.0000 0.3935 [6 per cell]

Computed, not measured: Tc2SeS after structural relaxation at the PBE level of DFT.

Computed properties:
**Excess energy over the best structure of this formula in the dataset**: 0.071 eV/atom
**Total moment**: 0.00 μB/cell
**E_form (uncorrected)**: 133 meV/atom

Lattice parameters (Å, degrees): 6.102 6.102 6.102 90.00 90.00 90.00
Space group Fm-3m (No. 225)
Inequivalent atoms, fractional coordinates:
Tc 0.250 0.250 0.250 [8 per cell]
Se 0.000 0.000 0.000 [4 per cell]
S 0.000 0.000 0.500 [4 per cell]

Computed, not measured: TcSeS after structural relaxation at the PBE level of DFT.

Computed properties:
**Excess energy over the best structure of this formula in the dataset**: 0.102 eV/atom
**Total moment**: 0.00 μB/cell
**E_form (uncorrected)**: -377 meV/atom

Lattice parameters (Å, degrees): 3.042 6.103 7.341 100.04 90.28 104.40
Space group P1 (No. 1)
Inequivalent atoms, fractional coordinates:
Tc 0.000 0.000 0.000 [1 per cell]
Tc 0.300 0.598 0.055 [1 per cell]
Se 0.167 0.327 0.286 [1 per cell]
Se 0.381 0.767 0.768 [1 per cell]
S 0.640 0.281 0.879 [1 per cell]
S 0.909 0.812 0.250 [1 per cell]

Computed, not measured: TcSeS2 after structural relaxation at the PBE level of DFT.

Computed properties:
**Total moment**: 0.00 μB/cell
**E_form (uncorrected)**: -203 meV/atom

Lattice parameters (Å, degrees): 3.203 7.670 8.430 87.46 80.41 80.49
Space group P1 (No. 1)
Inequivalent atoms, fractional coordinates:
Tc 0.000 0.000 0.000 [1 per cell]
Tc 0.472 0.808 0.246 [1 per cell]
Se 0.618 0.743 0.964 [1 per cell]
Se 0.990 0.615 0.386 [1 per cell]
S 0.198 0.048 0.712 [1 per cell]
S 0.288 0.299 0.751 [1 per cell]
S 0.388 0.246 0.989 [1 per cell]
S 0.862 0.033 0.281 [1 per cell]

Computed, not measured: TcSeS2 after structural relaxation at the PBE level of DFT.

Computed properties:
**Total moment**: 0.00 μB/cell
**E_form (uncorrected)**: -181 meV/atom

Lattice parameters (Å, degrees): 3.250 7.414 7.733 95.79 92.06 90.02
Space group P1 (No. 1)
Inequivalent atoms, fractional coordinates:
Tc 0.000 0.000 0.000 [1 per cell]
Tc 0.471 0.725 0.765 [1 per cell]
Se 0.468 0.055 0.763 [1 per cell]
Se 0.706 0.715 0.440 [1 per cell]
S 0.248 0.011 0.307 [1 per cell]
S 0.498 0.193 0.155 [1 per cell]
S 0.950 0.518 0.625 [1 per cell]
S 0.980 0.688 0.985 [1 per cell]

Computed, not measured: Th8Tc3Se4S after structural relaxation at the PBE level of DFT.

Computed properties:
**Total moment**: 0.00 μB/cell
**E_form (uncorrected)**: -1012 meV/atom

Lattice parameters (Å, degrees): 8.2597 8.2597 21.7302 90.00 90.00 120.00
Space group R-3m (No. 166, hexagonal axes)
Inequivalent atoms, fractional coordinates:
Th 0.0000 0.0000 0.2396 [6 per cell]
Th 0.0116 0.5058 0.7596 [18 per cell]
Tc 0.0000 0.5000 0.5000 [9 per cell]
Se 0.0000 0.0000 0.0000 [3 per cell]
Se 0.0000 0.5000 0.0000 [9 per cell]
S 0.0000 0.0000 0.5000 [3 per cell]

Computed, not measured: Th4TcSe2S after structural relaxation at the PBE level of DFT.

Computed properties:
**Total moment**: 0.00 μB/cell
**E_form (uncorrected)**: -1255 meV/atom

Lattice parameters (Å, degrees): 7.235 4.082 7.447 90.00 108.37 90.00
Space group P2/m (No. 10)
Inequivalent atoms, fractional coordinates:
Th 0.231 0.000 0.224 [2 per cell]
Th 0.253 0.500 0.771 [2 per cell]
Tc 0.000 0.500 0.000 [1 per cell]
Se 0.000 0.000 0.500 [1 per cell]
Se 0.500 0.500 0.500 [1 per cell]
S 0.500 0.000 0.000 [1 per cell]

Computed, not measured: Th6TcSe3S2 after structural relaxation at the PBE level of DFT.

Computed properties:
**Total moment**: 0.00 μB/cell
**E_form (uncorrected)**: -1417 meV/atom

Lattice parameters (Å, degrees): 7.164 12.363 7.362 90.00 108.98 90.00
Space group C2/m (No. 12)
Inequivalent atoms, fractional coordinates:
Th 0.239 0.163 0.228 [8 per cell]
Th 0.248 0.500 0.232 [4 per cell]
Tc 0.000 0.000 0.000 [2 per cell]
Se 0.000 0.169 0.500 [4 per cell]
Se 0.000 0.500 0.500 [2 per cell]
S 0.000 0.334 0.000 [4 per cell]

- E_form (uncorrected) of number 11 (Th4TcSe2S)?
  -1255 meV/atom

Repeat the eleventh record exactly.
Computed, not measured: Th4TcSe2S after structural relaxation at the PBE level of DFT.

Computed properties:
**Total moment**: 0.00 μB/cell
**E_form (uncorrected)**: -1255 meV/atom

Lattice parameters (Å, degrees): 7.235 4.082 7.447 90.00 108.37 90.00
Space group P2/m (No. 10)
Inequivalent atoms, fractional coordinates:
Th 0.231 0.000 0.224 [2 per cell]
Th 0.253 0.500 0.771 [2 per cell]
Tc 0.000 0.500 0.000 [1 per cell]
Se 0.000 0.000 0.500 [1 per cell]
Se 0.500 0.500 0.500 [1 per cell]
S 0.500 0.000 0.000 [1 per cell]